# 1
Here is a relaxed structure of LiTmP2Pt5 from Alexandria via LeMat-Bulk. Energies are from PBE.

```
9
Lattice="3.970 0.000 0.000 0.000 3.970 0.000 0.000 0.000 11.224" Properties=species:S:1:pos:R:3 pbc="T T T"
Li 0.000 0.000 0.000
Tm 0.000 0.000 5.612
P 1.985 1.985 2.247
P 1.985 1.985 8.977
Pt 0.000 1.985 3.483
Pt 0.000 1.985 7.740
Pt 1.985 0.000 3.483
Pt 1.985 0.000 7.740
Pt 1.985 1.985 0.000
```

Properties
For the density of states at the Fermi level, the calculation gives 2.84 states/eV/cell. The symmetry is No. 123. The value obtained for the energy relative to the elements is -708 meV per atom.



# 2
Here is a relaxed structure of LiPPtW2 from Alexandria via LeMat-Bulk. Energies are from PBE.

```
5
Lattice="4.455 0.000 0.000 0.000 4.455 0.000 0.000 0.000 4.131" Properties=species:S:1:pos:R:3 pbc="T T T"
Li 0.000 0.000 0.000
P 0.000 0.000 2.065
Pt 2.227 2.227 0.000
W 0.000 2.227 2.065
W 2.227 0.000 2.065
```

Properties
For the density of states at the Fermi level, the calculation gives 4.63 states/eV/cell. The symmetry is No. 123. The value obtained for the energy relative to the elements is 559 meV per atom.



# 3
Here is a relaxed structure of LiYP2Pt5 from Alexandria via LeMat-Bulk. Energies are from PBE.

```
9
Lattice="3.975 0.000 0.000 0.000 3.975 0.000 0.000 0.000 11.336" Properties=species:S:1:pos:R:3 pbc="T T T"
Li 0.000 0.000 0.000
Y 0.000 0.000 5.668
P 1.987 1.987 2.246
P 1.987 1.987 9.090
Pt 0.000 1.987 3.476
Pt 0.000 1.987 7.860
Pt 1.987 0.000 3.476
Pt 1.987 0.000 7.860
Pt 1.987 1.987 0.000
```

Properties
For the density of states at the Fermi level, the calculation gives 2.88 states/eV/cell. The symmetry is No. 123. The value obtained for the energy relative to the elements is -690 meV per atom.



# 4
Here is a relaxed structure of LiY2P3Pt12 from Alexandria via LeMat-Bulk. Energies are from PBE.

```
18
Lattice="4.142 2.392 5.690 -4.142 2.392 5.690 0.000 -4.783 5.690" Properties=species:S:1:pos:R:3 pbc="T T T"
Li 0.000 0.000 0.000
Y 0.000 0.000 6.628
Y 0.000 0.000 10.440
P -4.142 0.000 8.534
P -2.071 1.196 2.845
P 2.071 1.196 2.845
Pt -2.273 -1.313 8.050
Pt 0.000 -2.400 5.097
Pt -2.079 1.200 5.097
Pt 0.000 -2.625 9.019
Pt -2.273 1.313 9.019
Pt -2.079 -1.200 11.972
Pt 2.079 1.200 5.097
Pt 2.273 -1.313 8.050
Pt 0.000 2.625 8.050
Pt 2.079 -1.200 11.972
Pt 0.000 2.400 11.972
Pt 2.273 1.313 9.019
```

Properties
For the density of states at the Fermi level, the calculation gives 4.63 states/eV/cell. The symmetry is No. 166. The value obtained for the energy relative to the elements is -482 meV per atom.